# ReTe2Ru

A relaxed structure of ReTe2Ru (PBE-GGA, Alexandria via LeMat-Bulk). Values from VASP.

Quantum ESPRESSO input file:
```
&SYSTEM
  ibrav = 0, nat = 4, ntyp = 3
/
ATOMIC_SPECIES
Re 186.21 Re.upf
Ru 101.07 Ru.upf
Te 127.60 Te.upf
ATOMIC_POSITIONS crystal
Re 0.500 0.000 0.500
Ru 0.000 0.500 0.500
Te 0.000 0.000 0.000
Te 0.500 0.500 0.000
CELL_PARAMETERS angstrom
4.663 -0.013 0.000
0.013 4.663 0.000
0.000 0.000 3.354
```

## Properties
As for the calculated volume: 18.2 A^3/atom. The value obtained for the magnetization is 0.096 μB per atom. The energy relative to the lowest polymorph listed for this composition comes out at 330.4 meV/atom. Its space group is No. 123.


# Re2TeRu

A relaxed structure of Re2TeRu (PBE-GGA, Alexandria via LeMat-Bulk). Values from VASP.

Quantum ESPRESSO input file:
```
&SYSTEM
  ibrav = 0, nat = 4, ntyp = 3
/
ATOMIC_SPECIES
Re 186.21 Re.upf
Ru 101.07 Ru.upf
Te 127.60 Te.upf
ATOMIC_POSITIONS crystal
Re 0.000 0.792 0.034
Re 0.500 0.197 0.237
Ru 0.000 0.554 0.518
Te 0.500 0.957 0.711
CELL_PARAMETERS angstrom
-3.595 0.533 1.863
1.085 -1.201 2.437
2.174 4.357 2.949
```

## Properties
As for the calculated volume: 16.4 A^3/atom. The value obtained for the magnetization is 0.000 μB per atom. Its space group is No. 6.


# Re2TeRu

A relaxed structure of Re2TeRu (PBE-GGA, Alexandria via LeMat-Bulk). Values from VASP.

Quantum ESPRESSO input file:
```
&SYSTEM
  ibrav = 0, nat = 4, ntyp = 3
/
ATOMIC_SPECIES
Re 186.21 Re.upf
Ru 101.07 Ru.upf
Te 127.60 Te.upf
ATOMIC_POSITIONS crystal
Re 0.000 0.000 0.032
Re 0.500 0.500 0.253
Ru 0.000 0.000 0.478
Te 0.500 0.500 0.737
CELL_PARAMETERS angstrom
2.851 0.054 0.000
-1.231 2.572 0.000
0.000 0.000 9.331
```

## Properties
As for the calculated volume: 17.3 A^3/atom. The value obtained for the magnetization is 0.000 μB per atom. Its space group is No. 35.


# Re2TeRu

A relaxed structure of Re2TeRu (PBE-GGA, Alexandria via LeMat-Bulk). Values from VASP.

Quantum ESPRESSO input file:
```
&SYSTEM
  ibrav = 0, nat = 4, ntyp = 3
/
ATOMIC_SPECIES
Re 186.21 Re.upf
Ru 101.07 Ru.upf
Te 127.60 Te.upf
ATOMIC_POSITIONS crystal
Re 0.000 0.000 0.000
Re 0.500 0.500 0.000
Ru 0.500 0.000 0.500
Te 0.000 0.500 0.500
CELL_PARAMETERS angstrom
4.599 0.000 0.000
0.000 4.599 0.000
0.000 0.000 3.041
```

## Properties
As for the calculated volume: 16.1 A^3/atom. The value obtained for the magnetization is 0.000 μB per atom. Its space group is No. 123.


# Re2TeRu

A relaxed structure of Re2TeRu (PBE-GGA, Alexandria via LeMat-Bulk). Values from VASP.

Quantum ESPRESSO input file:
```
&SYSTEM
  ibrav = 0, nat = 4, ntyp = 3
/
ATOMIC_SPECIES
Re 186.21 Re.upf
Ru 101.07 Ru.upf
Te 127.60 Te.upf
ATOMIC_POSITIONS crystal
Re 0.000 0.000 0.027
Re 0.000 0.000 0.473
Ru 0.500 0.500 0.250
Te 0.500 0.500 0.750
CELL_PARAMETERS angstrom
-0.132 -2.824 0.023
1.274 1.301 2.163
-8.556 0.438 4.777
```

## Properties
As for the calculated volume: 17.3 A^3/atom. The value obtained for the magnetization is 0.000 μB per atom. Its space group is No. 65.


# Re2TeRu

A relaxed structure of Re2TeRu (PBE-GGA, Alexandria via LeMat-Bulk). Values from VASP.

Quantum ESPRESSO input file:
```
&SYSTEM
  ibrav = 0, nat = 4, ntyp = 3
/
ATOMIC_SPECIES
Re 186.21 Re.upf
Ru 101.07 Ru.upf
Te 127.60 Te.upf
ATOMIC_POSITIONS crystal
Re 0.018 0.018 0.965
Re 0.751 0.751 0.756
Ru 0.483 0.483 0.517
Te 0.249 0.249 0.262
CELL_PARAMETERS angstrom
-1.078 1.449 -4.550
-3.486 0.103 -3.435
-1.786 4.232 1.248
```

## Properties
As for the calculated volume: 16.4 A^3/atom. The value obtained for the magnetization is 0.000 μB per atom. Its space group is No. 8.


# ReTe2Ru

A relaxed structure of ReTe2Ru (PBE-GGA, Alexandria via LeMat-Bulk). Values from VASP.

Quantum ESPRESSO input file:
```
&SYSTEM
  ibrav = 0, nat = 4, ntyp = 3
/
ATOMIC_SPECIES
Re 186.21 Re.upf
Ru 101.07 Ru.upf
Te 127.60 Te.upf
ATOMIC_POSITIONS crystal
Re 0.500 0.500 0.250
Ru 0.500 0.500 0.750
Te 0.000 0.000 0.998
Te 0.000 0.000 0.502
CELL_PARAMETERS angstrom
-0.840 0.684 -2.977
-2.123 -1.399 1.889
-2.867 7.888 2.621
```

## Properties
As for the calculated volume: 19.4 A^3/atom. The value obtained for the magnetization is 0.000 μB per atom. The energy relative to the lowest polymorph listed for this composition comes out at 746.1 meV/atom. Its space group is No. 65.


# ReTe2Ru

A relaxed structure of ReTe2Ru (PBE-GGA, Alexandria via LeMat-Bulk). Values from VASP.

Quantum ESPRESSO input file:
```
&SYSTEM
  ibrav = 0, nat = 4, ntyp = 3
/
ATOMIC_SPECIES
Re 186.21 Re.upf
Ru 101.07 Ru.upf
Te 127.60 Te.upf
ATOMIC_POSITIONS crystal
Re 0.250 0.250 0.250
Ru 0.750 0.750 0.750
Te 0.000 0.000 0.000
Te 0.500 0.500 0.500
CELL_PARAMETERS angstrom
8.319 0.007 0.004
7.678 3.202 0.004
7.678 1.540 2.807
```

## Properties
As for the calculated volume: 18.6 A^3/atom. The value obtained for the magnetization is 0.000 μB per atom. The energy relative to the lowest polymorph listed for this composition comes out at 231.7 meV/atom. Its space group is No. 166.


# Re2TeRu

A relaxed structure of Re2TeRu (PBE-GGA, Alexandria via LeMat-Bulk). Values from VASP.

Quantum ESPRESSO input file:
```
&SYSTEM
  ibrav = 0, nat = 4, ntyp = 3
/
ATOMIC_SPECIES
Re 186.21 Re.upf
Ru 101.07 Ru.upf
Te 127.60 Te.upf
ATOMIC_POSITIONS crystal
Re 0.000 0.000 0.021
Re 0.500 0.500 0.244
Ru 0.000 0.000 0.491
Te 0.500 0.500 0.744
CELL_PARAMETERS angstrom
3.002 0.000 0.000
0.000 3.002 0.000
0.000 0.000 7.267
```

## Properties
As for the calculated volume: 16.4 A^3/atom. The value obtained for the magnetization is 0.000 μB per atom. Its space group is No. 99.


# ReTe4Ru

A relaxed structure of ReTe4Ru (PBE-GGA, Alexandria via LeMat-Bulk). Values from VASP.

Quantum ESPRESSO input file:
```
&SYSTEM
  ibrav = 0, nat = 6, ntyp = 3
/
ATOMIC_SPECIES
Re 186.21 Re.upf
Te 127.60 Te.upf
Ru 101.07 Ru.upf
ATOMIC_POSITIONS crystal
Re 0.750 0.750 0.750
Te 0.874 0.375 0.375
Te 0.375 0.375 0.874
Te 0.375 0.874 0.375
Te 0.375 0.375 0.375
Ru 0.000 0.000 0.000
CELL_PARAMETERS angstrom
1.960 -5.753 -0.620
1.445 -3.284 4.945
-3.569 -4.646 1.731
```

## Properties
As for the calculated volume: 26.9 A^3/atom. The value obtained for the magnetization is 1.083 μB per atom. Its space group is No. 216.


# Re2TeRu

A relaxed structure of Re2TeRu (PBE-GGA, Alexandria via LeMat-Bulk). Values from VASP.

Quantum ESPRESSO input file:
```
&SYSTEM
  ibrav = 0, nat = 4, ntyp = 3
/
ATOMIC_SPECIES
Re 186.21 Re.upf
Ru 101.07 Ru.upf
Te 127.60 Te.upf
ATOMIC_POSITIONS crystal
Re 0.024 0.024 0.000
Re 0.476 0.476 0.000
Ru 0.750 0.250 0.500
Te 0.250 0.750 0.500
CELL_PARAMETERS angstrom
5.428 -0.001 -0.004
2.698 4.710 0.004
-3.573 -3.200 2.541
```

## Properties
As for the calculated volume: 16.3 A^3/atom. The value obtained for the magnetization is 0.000 μB per atom. Its space group is No. 71.


# Re2TeRu

A relaxed structure of Re2TeRu (PBE-GGA, Alexandria via LeMat-Bulk). Values from VASP.

Quantum ESPRESSO input file:
```
&SYSTEM
  ibrav = 0, nat = 4, ntyp = 3
/
ATOMIC_SPECIES
Re 186.21 Re.upf
Ru 101.07 Ru.upf
Te 127.60 Te.upf
ATOMIC_POSITIONS crystal
Re 0.000 0.000 0.000
Re 0.250 0.250 0.250
Ru 0.500 0.500 0.500
Te 0.750 0.750 0.750
CELL_PARAMETERS angstrom
-0.823 -4.187 -1.521
1.624 -3.585 2.244
-2.823 -2.720 2.270
```

## Properties
As for the calculated volume: 16.4 A^3/atom. The value obtained for the magnetization is 0.306 μB per atom. Its space group is No. 216.


Number 1: formation energy (no corrections) 628 meV/atom. Number 2: formation energy (no corrections) 531 meV/atom. Number 3: formation energy (no corrections) 816 meV/atom. Number 4: formation energy (no corrections) 710 meV/atom. Number 5: formation energy (no corrections) 971 meV/atom. Number 6: formation energy (no corrections) 562 meV/atom. Number 7: formation energy (no corrections) 1044 meV/atom. Number 8: formation energy (no corrections) 530 meV/atom. Number 9: formation energy (no corrections) 432 meV/atom. Number 10: formation energy (no corrections) 1856 meV/atom. Number 11: formation energy (no corrections) 637 meV/atom. Number 12: formation energy (no corrections) 782 meV/atom.